No. 1
# Te2AsAu (GGA-PBE, relaxed)
# Crystal system: cubic
# Calculated total energy (eV/atom): -3.103
data_Te2AsAu
_space_group_name_H-M_alt 'F -4 3 m'
_space_group_IT_number 216
_space_group_name_Hall 'F -4 2 3'
_cell_length_a 7.202
_cell_length_b 7.202
_cell_length_c 7.202
_cell_angle_alpha 90.00
_cell_angle_beta 90.00
_cell_angle_gamma 90.00
loop_
_atom_site_label
_atom_site_type_symbol
_atom_site_fract_x
_atom_site_fract_y
_atom_site_fract_z
Te1 Te 0.000 0.000 0.000
Te2 Te 0.250 0.250 0.250
As1 As 0.000 0.000 0.500
Au1 Au 0.250 0.250 0.750

=====

No. 2
# TlAs2Au (GGA-PBE, relaxed)
# Crystal system: cubic
# Energy relative to the lowest polymorph listed for this composition (eV per atom): 0.4444
data_TlAs2Au
_space_group_name_H-M_alt 'F -4 3 m'
_space_group_IT_number 216
_space_group_name_Hall 'F -4 2 3'
_cell_length_a 6.996
_cell_length_b 6.996
_cell_length_c 6.996
_cell_angle_alpha 90.00
_cell_angle_beta 90.00
_cell_angle_gamma 90.00
loop_
_atom_site_label
_atom_site_type_symbol
_atom_site_fract_x
_atom_site_fract_y
_atom_site_fract_z
Tl1 Tl 0.000 0.000 0.000
As1 As 0.000 0.000 0.500
As2 As 0.250 0.250 0.750
Au1 Au 0.250 0.250 0.250

=====

No. 3
# TlAs5Au3 (GGA-PBE, relaxed)
# Crystal system: hexagonal
# Calculated total energy (eV/atom): -3.582
data_TlAs5Au3
_space_group_name_H-M_alt 'P 6/m m m'
_space_group_IT_number 191
_space_group_name_Hall '-P 6 2'
_cell_length_a 5.3575
_cell_length_b 5.3575
_cell_length_c 8.6253
_cell_angle_alpha 90.00
_cell_angle_beta 90.00
_cell_angle_gamma 120.00
loop_
_atom_site_label
_atom_site_type_symbol
_atom_site_fract_x
_atom_site_fract_y
_atom_site_fract_z
Tl1 Tl 0.0000 0.0000 0.0000
As1 As 0.0000 0.0000 0.5000
As2 As 0.3333 0.6667 0.1453
Au1 Au 0.0000 0.5000 0.5000

=====

No. 4
# TlAs2Au (GGA-PBE, relaxed)
# Crystal system: monoclinic
# Energy relative to the lowest polymorph listed for this composition (eV per atom): 0.0000
data_TlAs2Au
_space_group_name_H-M_alt 'C 1 2/m 1'
_space_group_IT_number 12
_cell_length_a 11.627
_cell_length_b 3.694
_cell_length_c 4.942
_cell_angle_alpha 90.00
_cell_angle_beta 106.49
_cell_angle_gamma 90.00
loop_
_space_group_symop_operation_xyz
'x,y,z'
'-x,-y,-z'
'-x,y,-z'
'x,-y,z'
'x+1/2,y+1/2,z'
'-x+1/2,-y+1/2,-z'
'-x+1/2,y+1/2,-z'
'x+1/2,-y+1/2,z'
loop_
_atom_site_label
_atom_site_type_symbol
_atom_site_fract_x
_atom_site_fract_y
_atom_site_fract_z
Tl1 Tl 0.000 0.000 0.000
As1 As 0.227 0.500 0.646
Au1 Au 0.000 0.500 0.500

=====

No. 5
# TlAs2Au2 (GGA-PBE, relaxed)
# Crystal system: orthorhombic
# Energy relative to the lowest polymorph listed for this composition (eV per atom): 0.0000
data_TlAs2Au2
_space_group_name_H-M_alt 'C m c m'
_space_group_IT_number 63
_space_group_name_Hall '-C 2c 2'
_cell_length_a 3.492
_cell_length_b 12.020
_cell_length_c 11.981
_cell_angle_alpha 90.00
_cell_angle_beta 90.00
_cell_angle_gamma 90.00
loop_
_atom_site_label
_atom_site_type_symbol
_atom_site_fract_x
_atom_site_fract_y
_atom_site_fract_z
Tl1 Tl 0.000 0.022 0.250
As1 As 0.000 0.302 0.048
Au1 Au 0.000 0.276 0.250
Au2 Au 0.000 0.500 0.000

=====

No. 6
# TlAsAu (GGA-PBE, relaxed)
# Crystal system: cubic
# Calculated total energy (eV/atom): -3.018
data_TlAsAu
_space_group_name_H-M_alt 'F -4 3 m'
_space_group_IT_number 216
_space_group_name_Hall 'F -4 2 3'
_cell_length_a 6.680
_cell_length_b 6.680
_cell_length_c 6.680
_cell_angle_alpha 90.00
_cell_angle_beta 90.00
_cell_angle_gamma 90.00
loop_
_atom_site_label
_atom_site_type_symbol
_atom_site_fract_x
_atom_site_fract_y
_atom_site_fract_z
Tl1 Tl 0.000 0.000 0.000
As1 As 0.250 0.250 0.750
Au1 Au 0.250 0.250 0.250

=====

No. 7
# Tl2AsAu (GGA-PBE, relaxed)
# Crystal system: cubic
# Calculated total energy (eV/atom): -2.979
data_Tl2AsAu
_space_group_name_H-M_alt 'F -4 3 m'
_space_group_IT_number 216
_space_group_name_Hall 'F -4 2 3'
_cell_length_a 7.255
_cell_length_b 7.255
_cell_length_c 7.255
_cell_angle_alpha 90.00
_cell_angle_beta 90.00
_cell_angle_gamma 90.00
loop_
_atom_site_label
_atom_site_type_symbol
_atom_site_fract_x
_atom_site_fract_y
_atom_site_fract_z
Tl1 Tl 0.000 0.000 0.000
Tl2 Tl 0.250 0.250 0.250
As1 As 0.000 0.000 0.500
Au1 Au 0.250 0.250 0.750

=====

No. 8
# TlAs2Au2 (GGA-PBE, relaxed)
# Crystal system: tetragonal
# Energy relative to the lowest polymorph listed for this composition (eV per atom): 0.0846
data_TlAs2Au2
_space_group_name_H-M_alt 'I 4/m m m'
_space_group_IT_number 139
_space_group_name_Hall '-I 4 2'
_cell_length_a 4.551
_cell_length_b 4.551
_cell_length_c 10.947
_cell_angle_alpha 90.00
_cell_angle_beta 90.00
_cell_angle_gamma 90.00
loop_
_atom_site_label
_atom_site_type_symbol
_atom_site_fract_x
_atom_site_fract_y
_atom_site_fract_z
Tl1 Tl 0.000 0.000 0.000
As1 As 0.000 0.000 0.385
Au1 Au 0.000 0.500 0.250

=====

No. 9
# AsW2Au (GGA-PBE, relaxed)
# Crystal system: cubic
# Calculated total energy (eV/atom): -7.668
data_AsW2Au
_space_group_name_H-M_alt 'F -4 3 m'
_space_group_IT_number 216
_space_group_name_Hall 'F -4 2 3'
_cell_length_a 6.472
_cell_length_b 6.472
_cell_length_c 6.472
_cell_angle_alpha 90.00
_cell_angle_beta 90.00
_cell_angle_gamma 90.00
loop_
_atom_site_label
_atom_site_type_symbol
_atom_site_fract_x
_atom_site_fract_y
_atom_site_fract_z
As1 As 0.000 0.000 0.000
W1 W 0.000 0.000 0.500
W2 W 0.250 0.250 0.750
Au1 Au 0.250 0.250 0.250

=====

No. 10
# AsWAu (GGA-PBE, relaxed)
# Crystal system: cubic
# Energy relative to the lowest polymorph listed for this composition (eV per atom): 0.0000
data_AsWAu
_space_group_name_H-M_alt 'F -4 3 m'
_space_group_IT_number 216
_space_group_name_Hall 'F -4 2 3'
_cell_length_a 6.190
_cell_length_b 6.190
_cell_length_c 6.190
_cell_angle_alpha 90.00
_cell_angle_beta 90.00
_cell_angle_gamma 90.00
loop_
_atom_site_label
_atom_site_type_symbol
_atom_site_fract_x
_atom_site_fract_y
_atom_site_fract_z
As1 As 0.000 0.000 0.000
W1 W 0.250 0.250 0.250
Au1 Au 0.000 0.000 0.500

=====

No. 11
# AsWAu2 (GGA-PBE, relaxed)
# Crystal system: cubic
# Calculated total energy (eV/atom): -5.497
data_AsWAu2
_space_group_name_H-M_alt 'F -4 3 m'
_space_group_IT_number 216
_space_group_name_Hall 'F -4 2 3'
_cell_length_a 6.474
_cell_length_b 6.474
_cell_length_c 6.474
_cell_angle_alpha 90.00
_cell_angle_beta 90.00
_cell_angle_gamma 90.00
loop_
_atom_site_label
_atom_site_type_symbol
_atom_site_fract_x
_atom_site_fract_y
_atom_site_fract_z
As1 As 0.000 0.000 0.000
W1 W 0.250 0.250 0.250
Au1 Au 0.000 0.000 0.500
Au2 Au 0.250 0.250 0.750

=====

No. 12
# YAs2Au (GGA-PBE, relaxed)
# Crystal system: cubic
# Calculated total energy (eV/atom): -5.132
data_YAs2Au
_space_group_name_H-M_alt 'F -4 3 m'
_space_group_IT_number 216
_space_group_name_Hall 'F -4 2 3'
_cell_length_a 6.962
_cell_length_b 6.962
_cell_length_c 6.962
_cell_angle_alpha 90.00
_cell_angle_beta 90.00
_cell_angle_gamma 90.00
loop_
_atom_site_label
_atom_site_type_symbol
_atom_site_fract_x
_atom_site_fract_y
_atom_site_fract_z
Y1 Y 0.000 0.000 0.000
As1 As 0.000 0.000 0.500
As2 As 0.250 0.250 0.250
Au1 Au 0.250 0.250 0.750